First-principles (PBE) data for a relaxed TaSi2As crystal, as listed in the Alexandria database. Values from VASP.

```
&SYSTEM
  ibrav = 0, nat = 8, ntyp = 3
/
ATOMIC_SPECIES
Ta 180.95 Ta.upf
Si 28.09 Si.upf
As 74.92 As.upf
CELL_PARAMETERS angstrom
5.9218 0.0000 0.0000
0.0000 5.9218 0.0000
2.9609 2.9609 5.3602
ATOMIC_POSITIONS crystal
Ta 0.7500 0.2500 0.5000
Ta 0.0000 0.0000 0.0000
Si 0.8750 0.8640 0.7500
Si 0.1360 0.6250 0.2500
Si 0.6140 0.1250 0.2500
Si 0.3750 0.3860 0.7500
As 0.5000 0.5000 0.0000
As 0.2500 0.7500 0.5000
```

Properties
Magnetization, μB/cell: 0.0
E_form (uncorrected), eV per atom: 0.63
Space group: I-42d, No. 122
Calculated volume, Å³ per cell: 188.0
Final energy, eV per atom: -6.204
DOS(E_F), states/eV/cell: 5.793